{"formula": "ZnFe2Au", "functional": "meta-GGA SCAN", "state": "PBEsol geometry", "ef_ev_per_atom": 0.123, "crystal_system": "trigonal", "spacegroup": "R-3m (166)", "cell": [[2.679, 0.000, 0.000], [1.339, 2.320, 0.000], [1.339, 0.773, 8.629]], "species": ["Au", "Fe", "Fe", "Zn"], "fractional_positions": [[0.000, 0.000, 0.000], [0.246, 0.246, 0.261], [0.754, 0.754, 0.739], [0.500, 0.500, 0.500]]}

---

{"formula": "MgSbPdI2", "functional": "meta-GGA SCAN", "state": "PBEsol geometry", "e_form_raw_ev_per_atom": 0.1640, "crystal_system": "tetragonal", "spacegroup": "P4/mmm (123)", "cell": [[-0.368, 4.981, -1.597], [-4.798, 0.431, 2.448], [2.457, 1.633, 4.527]], "species": ["I", "I", "Sb", "Mg", "Pd"], "fractional_positions": [[0.000, 0.000, 0.500], [0.000, 0.500, 0.000], [0.500, 0.000, 0.000], [0.500, 0.500, 0.500], [0.000, 0.000, 0.000]]}

---

{"formula": "ZrRh3", "functional": "meta-GGA SCAN", "state": "PBEsol geometry", "ef_ev_per_atom": -0.672, "crystal_system": "orthorhombic", "spacegroup": "Pmmn (59)", "cell": [[4.435, 0.000, 0.000], [0.000, 4.855, 0.000], [0.000, 0.000, 5.575]], "species": ["Rh", "Rh", "Rh", "Rh", "Rh", "Rh", "Zr", "Zr"], "fractional_positions": [[0.500, 0.310, 0.000], [0.000, 0.163, 0.755], [0.500, 0.837, 0.745], [0.000, 0.690, 0.500], [0.000, 0.163, 0.245], [0.500, 0.837, 0.255], [0.000, 0.661, 0.000], [0.500, 0.339, 0.500]]}

---

{"formula": "LaGe2PdRh", "functional": "meta-GGA SCAN", "state": "PBEsol geometry", "ef_ev_per_atom": -1.010, "crystal_system": "tetragonal", "spacegroup": "P4/nmm (129)", "cell": [[-1.016, 1.024, -4.097], [-3.337, -2.778, 0.133], [-5.880, 7.216, 3.261]], "species": ["La", "La", "Ge", "Ge", "Ge", "Ge", "Pd", "Pd", "Rh", "Rh"], "fractional_positions": [[0.000, 0.500, 0.257], [0.500, 0.000, 0.743], [0.000, 0.500, 0.867], [0.500, 0.000, 0.133], [0.500, 0.500, 0.500], [0.000, 0.000, 0.500], [0.500, 0.500, 0.000], [0.000, 0.000, 0.000], [0.000, 0.500, 0.622], [0.500, 0.000, 0.378]]}

---

{"formula": "AgMoAs2", "functional": "meta-GGA SCAN", "state": "PBEsol geometry", "ef_ev_per_atom": 0.295, "crystal_system": "orthorhombic", "polymorph_energy_ev_per_atom": 0.0930, "spacegroup": "Cmm2 (35)", "cell": [[2.752, 0.006, 0.000], [-0.615, 2.682, 0.000], [0.000, 0.000, 9.669]], "species": ["Mo", "As", "As", "Ag"], "fractional_positions": [[0.000, 0.000, 0.499], [0.000, 0.000, 0.034], [0.500, 0.500, 0.701], [0.500, 0.500, 0.265]]}

---

{"formula": "Na2PdO2", "functional": "meta-GGA SCAN", "state": "PBEsol geometry", "e_form_raw_ev_per_atom": -1.0553, "crystal_system": "tetragonal", "spacegroup": "P4/mbm (127)", "cell": [[-1.864, 2.971, 0.357], [-4.416, -3.013, 2.014], [2.002, 0.618, 5.314]], "species": ["Na", "Na", "Na", "Na", "O", "O", "O", "O", "Pd", "Pd"], "fractional_positions": [[0.500, 0.142, 0.642], [0.500, 0.642, 0.858], [0.500, 0.858, 0.358], [0.500, 0.358, 0.142], [0.000, 0.324, 0.824], [0.000, 0.824, 0.676], [0.000, 0.676, 0.176], [0.000, 0.176, 0.324], [0.000, 0.000, 0.000], [0.000, 0.500, 0.500]]}

---

{"formula": "Ti2TcMo", "functional": "meta-GGA SCAN", "state": "PBEsol geometry", "ef_ev_per_atom": -0.288, "crystal_system": "cubic", "spacegroup": "Fm-3m (225)", "cell": [[-3.824, -1.890, -0.968], [-1.837, -2.790, 2.823], [-3.619, 1.150, 2.170]], "species": ["Mo", "Tc", "Ti", "Ti"], "fractional_positions": [[0.000, 0.000, 0.000], [0.500, 0.500, 0.500], [0.250, 0.250, 0.250], [0.750, 0.750, 0.750]]}

---

{"formula": "Tl2AgMo", "functional": "meta-GGA SCAN", "state": "PBEsol geometry", "ef_ev_per_atom": 0.818, "crystal_system": "tetragonal", "polymorph_energy_ev_per_atom": 0.2310, "spacegroup": "I4/mmm (139)", "cell": [[4.226, 0.000, 0.000], [0.000, 4.226, 0.000], [-2.113, -2.113, 4.350]], "species": ["Ag", "Mo", "Tl", "Tl"], "fractional_positions": [[0.500, 0.500, 0.000], [0.000, 0.000, 0.000], [0.750, 0.250, 0.500], [0.250, 0.750, 0.500]]}

---

{"formula": "SrTcN3", "functional": "meta-GGA SCAN", "state": "PBEsol geometry", "e_form_raw_ev_per_atom": -0.4832, "crystal_system": "orthorhombic", "spacegroup": "Cmcm (63)", "cell": [[4.158, 0.000, 0.000], [0.000, 5.622, 0.000], [-2.079, 0.000, 6.238]], "species": ["Sr", "Sr", "Tc", "Tc", "N", "N", "N", "N", "N", "N"], "fractional_positions": [[0.629, 0.250, 0.259], [0.371, 0.750, 0.741], [0.096, 0.750, 0.193], [0.904, 0.250, 0.807], [0.456, 0.250, 0.606], [0.150, 0.250, 0.606], [0.000, 0.500, 0.000], [0.544, 0.750, 0.394], [0.850, 0.750, 0.394], [0.000, 0.000, 0.000]]}

---

{"formula": "Mg4SiTe", "functional": "meta-GGA SCAN", "state": "PBEsol geometry", "e_form_raw_ev_per_atom": 0.2337, "crystal_system": "cubic", "spacegroup": "F-43m (216)", "cell": [[5.717, 0.000, 0.000], [2.858, 4.951, 0.000], [2.858, 1.650, 4.668]], "species": ["Mg", "Mg", "Mg", "Mg", "Si", "Te"], "fractional_positions": [[0.375, 0.375, 0.375], [0.375, 0.375, 0.874], [0.874, 0.375, 0.375], [0.375, 0.874, 0.375], [0.750, 0.750, 0.750], [0.000, 0.000, 0.000]]}

---

{"formula": "CsAsF4", "functional": "meta-GGA SCAN", "state": "PBEsol geometry", "e_form_raw_ev_per_atom": -2.5319, "crystal_system": "monoclinic", "spacegroup": "P2_1 (4)", "cell": [[-1.309, 3.815, -2.393], [-0.240, -3.568, -5.558], [-7.419, 0.053, 4.145]], "species": ["As", "As", "Cs", "Cs", "F", "F", "F", "F", "F", "F", "F", "F"], "fractional_positions": [[0.686, 0.538, 0.688], [0.186, 0.462, 0.312], [0.194, 0.101, 0.784], [0.694, 0.899, 0.216], [0.718, 0.225, 0.583], [0.218, 0.775, 0.417], [0.629, 0.491, 0.879], [0.129, 0.509, 0.121], [0.070, 0.544, 0.705], [0.570, 0.456, 0.295], [0.700, 0.845, 0.835], [0.200, 0.155, 0.165]]}

---

{"formula": "CuSb", "functional": "meta-GGA SCAN", "state": "PBEsol geometry", "e_form_raw_ev_per_atom": 0.1094, "crystal_system": "tetragonal", "spacegroup": "P4/nmm (129)", "cell": [[-0.865, 0.918, -2.934], [-0.851, -3.001, -0.688], [-6.975, 1.406, 2.497]], "species": ["Sb", "Sb", "Cu", "Cu"], "fractional_positions": [[0.500, 0.000, 0.709], [0.000, 0.500, 0.291], [0.500, 0.000, 0.074], [0.000, 0.500, 0.926]]}

---

{"formula": "TaNi6Au", "functional": "meta-GGA SCAN", "state": "PBEsol geometry", "ef_ev_per_atom": -0.117, "crystal_system": "orthorhombic", "spacegroup": "Cmmm (65)", "cell": [[6.281, 0.003, 0.000], [-2.101, 5.919, 0.000], [0.000, 0.000, 10.273]], "species": ["Au", "Au", "Au", "Au", "Ni", "Ni", "Ni", "Ni", "Ni", "Ni", "Ni", "Ni", "Ni", "Ni", "Ni", "Ni", "Ni", "Ni", "Ni", "Ni", "Ni", "Ni", "Ni", "Ni", "Ni", "Ni", "Ni", "Ni", "Ta", "Ta", "Ta", "Ta"], "fractional_positions": [[0.251, 0.749, 0.000], [0.749, 0.251, 0.000], [0.500, 0.500, 0.752], [0.500, 0.500, 0.248], [0.247, 0.753, 0.745], [0.878, 0.630, 0.872], [0.122, 0.370, 0.872], [0.753, 0.247, 0.745], [0.370, 0.122, 0.872], [0.630, 0.878, 0.872], [0.500, 0.500, 0.500], [0.122, 0.374, 0.623], [0.374, 0.122, 0.623], [0.247, 0.753, 0.255], [0.878, 0.626, 0.377], [0.122, 0.374, 0.377], [0.753, 0.247, 0.255], [0.374, 0.122, 0.377], [0.626, 0.878, 0.377], [0.500, 0.500, 0.000], [0.122, 0.370, 0.128], [0.370, 0.122, 0.128], [0.000, 0.000, 0.500], [0.626, 0.878, 0.623], [0.878, 0.626, 0.623], [0.000, 0.000, 0.000], [0.630, 0.878, 0.128], [0.878, 0.630, 0.128], [0.247, 0.753, 0.500], [0.753, 0.247, 0.500], [0.000, 0.000, 0.752], [0.000, 0.000, 0.248]]}

---

{"formula": "Re3GeB", "functional": "meta-GGA SCAN", "state": "PBEsol geometry", "ef_ev_per_atom": 0.594, "crystal_system": "cubic", "spacegroup": "Pm-3m (221)", "cell": [[-1.764, -3.632, 0.654], [3.412, -1.881, -1.244], [1.406, 0.009, 3.841]], "species": ["Re", "Re", "Re", "Ge", "B"], "fractional_positions": [[0.000, 0.500, 0.000], [0.000, 0.000, 0.500], [0.500, 0.000, 0.000], [0.500, 0.500, 0.500], [0.000, 0.000, 0.000]]}

---

{"formula": "MnAg2Mo", "functional": "meta-GGA SCAN", "state": "PBEsol geometry", "ef_ev_per_atom": 0.415, "crystal_system": "orthorhombic", "polymorph_energy_ev_per_atom": 0.1887, "spacegroup": "Pmmm (47)", "cell": [[2.875, 0.000, 0.000], [0.000, 4.434, 0.000], [0.000, 0.000, 4.820]], "species": ["Ag", "Ag", "Mn", "Mo"], "fractional_positions": [[0.000, 0.000, 0.000], [0.500, 0.500, 0.000], [0.500, 0.000, 0.500], [0.000, 0.500, 0.500]]}

---

{"formula": "CuAgPt2", "functional": "meta-GGA SCAN", "state": "PBEsol geometry", "ef_ev_per_atom": -0.019, "crystal_system": "tetragonal", "polymorph_energy_ev_per_atom": 0.1029, "spacegroup": "P4mm (99)", "cell": [[-1.662, -0.525, 2.136], [2.195, -0.575, 1.566], [0.407, 7.294, 2.109]], "species": ["Pt", "Pt", "Ag", "Cu"], "fractional_positions": [[0.000, 0.000, 0.984], [0.500, 0.500, 0.244], [0.000, 0.000, 0.515], [0.500, 0.500, 0.757]]}

---

{"formula": "SrY3B", "functional": "meta-GGA SCAN", "state": "PBEsol geometry", "ef_ev_per_atom": 2.123, "crystal_system": "cubic", "spacegroup": "Pm-3m (221)", "cell": [[-3.777, 0.157, -3.828], [-3.810, -0.715, 3.730], [-0.400, 5.330, 0.613]], "species": ["Y", "Y", "Y", "Sr", "B"], "fractional_positions": [[0.000, 0.500, 0.000], [0.000, 0.000, 0.500], [0.500, 0.000, 0.000], [0.000, 0.000, 0.000], [0.500, 0.500, 0.500]]}

---

{"formula": "In2TeMo", "functional": "meta-GGA SCAN", "state": "PBEsol geometry", "e_form_raw_ev_per_atom": 0.5792, "crystal_system": "tetragonal", "spacegroup": "P4/mmm (123)", "cell": [[3.595, 0.000, 0.000], [0.000, 4.865, 0.000], [0.000, 0.000, 4.865]], "species": ["In", "In", "Mo", "Te"], "fractional_positions": [[0.000, 0.000, 0.500], [0.000, 0.500, 0.000], [0.500, 0.500, 0.500], [0.500, 0.000, 0.000]]}

---

{"formula": "LiMgRh2", "functional": "meta-GGA SCAN", "state": "PBEsol geometry", "ef_ev_per_atom": -0.283, "crystal_system": "orthorhombic", "spacegroup": "Pmm2 (25)", "cell": [[2.816, 0.000, 0.000], [0.000, 4.404, 0.000], [0.000, 0.000, 4.466]], "species": ["Mg", "Rh", "Rh", "Li"], "fractional_positions": [[0.500, 0.681, 0.500], [0.500, 0.075, 0.000], [0.000, 0.181, 0.500], [0.000, 0.562, 0.000]]}

---

{"formula": "CdIn2Ni", "functional": "meta-GGA SCAN", "state": "PBEsol geometry", "ef_ev_per_atom": -0.059, "crystal_system": "orthorhombic", "spacegroup": "Imm2 (44)", "cell": [[2.864, 0.000, 0.000], [0.000, 4.357, 0.000], [-1.432, -2.178, 6.317]], "species": ["Ni", "Cd", "In", "In"], "fractional_positions": [[0.496, 0.496, 0.992], [0.183, 0.683, 0.367], [0.005, 0.005, 0.011], [0.815, 0.315, 0.631]]}

---

{"formula": "Na2Mg2NiH6", "functional": "meta-GGA SCAN", "state": "PBEsol geometry", "crystal_system": "orthorhombic", "e_tot_ev_per_cell": -235.0, "spacegroup": "Pnma (62)", "cell": [[-0.614, -0.022, 5.292], [-7.960, -2.209, -0.933], [2.994, -10.917, 0.303]], "species": ["Na", "Na", "Na", "Na", "Na", "Na", "Na", "Na", "Mg", "Mg", "Mg", "Mg", "Mg", "Mg", "Mg", "Mg", "Ni", "Ni", "Ni", "Ni", "H", "H", "H", "H", "H", "H", "H", "H", "H", "H", "H", "H", "H", "H", "H", "H", "H", "H", "H", "H", "H", "H", "H", "H"], "fractional_positions": [[0.047, 0.250, 0.393], [0.453, 0.250, 0.893], [0.953, 0.750, 0.607], [0.547, 0.750, 0.107], [0.566, 0.250, 0.172], [0.934, 0.250, 0.672], [0.434, 0.750, 0.828], [0.066, 0.750, 0.328], [0.565, 0.508, 0.373], [0.935, 0.992, 0.873], [0.435, 0.008, 0.627], [0.065, 0.492, 0.127], [0.435, 0.492, 0.627], [0.065, 0.008, 0.127], [0.565, 0.992, 0.373], [0.935, 0.508, 0.873], [0.941, 0.250, 0.000], [0.559, 0.250, 0.500], [0.059, 0.750, 0.000], [0.441, 0.750, 0.500], [0.167, 0.250, 0.090], [0.333, 0.250, 0.590], [0.833, 0.750, 0.910], [0.667, 0.750, 0.410], [0.762, 0.398, 0.022], [0.738, 0.102, 0.522], [0.238, 0.898, 0.978], [0.262, 0.602, 0.478], [0.238, 0.602, 0.978], [0.262, 0.898, 0.478], [0.762, 0.102, 0.022], [0.738, 0.398, 0.522], [0.026, 0.250, 0.868], [0.474, 0.250, 0.368], [0.974, 0.750, 0.132], [0.526, 0.750, 0.632], [0.875, 0.485, 0.277], [0.625, 0.015, 0.777], [0.125, 0.985, 0.723], [0.375, 0.515, 0.223], [0.125, 0.515, 0.723], [0.375, 0.985, 0.223], [0.875, 0.015, 0.277], [0.625, 0.485, 0.777]]}

---

{"formula": "Co2PbW", "functional": "meta-GGA SCAN", "state": "PBEsol geometry", "ef_ev_per_atom": 0.697, "crystal_system": "monoclinic", "spacegroup": "C2/m (12)", "cell": [[-2.590, 1.418, 1.068], [-0.372, -4.244, 0.116], [2.336, 0.952, 4.405]], "species": ["Pb", "Co", "Co", "W"], "fractional_positions": [[0.500, 0.000, 0.000], [0.730, 0.460, 0.681], [0.270, 0.540, 0.319], [0.000, 0.000, 0.500]]}

---

{"formula": "RbNiMo3", "functional": "meta-GGA SCAN", "state": "PBEsol geometry", "ef_ev_per_atom": 3.655, "crystal_system": "cubic", "spacegroup": "Pm-3m (221)", "cell": [[4.532, 0.000, 0.000], [0.000, 4.532, 0.000], [0.000, 0.000, 4.532]], "species": ["Ni", "Mo", "Mo", "Mo", "Rb"], "fractional_positions": [[0.500, 0.500, 0.500], [0.000, 0.500, 0.000], [0.000, 0.000, 0.500], [0.500, 0.000, 0.000], [0.000, 0.000, 0.000]]}

---

{"formula": "BeW", "functional": "meta-GGA SCAN", "state": "PBEsol geometry", "ef_ev_per_atom": -0.184, "crystal_system": "orthorhombic", "polymorph_energy_ev_per_atom": 0.0000, "spacegroup": "Cmcm (63)", "cell": [[-1.267, -0.696, 2.850], [-1.323, -2.686, -1.244], [4.237, -1.914, -0.376]], "species": ["Be", "Be", "W", "W"], "fractional_positions": [[0.932, 0.750, 0.865], [0.068, 0.250, 0.135], [0.654, 0.750, 0.309], [0.346, 0.250, 0.691]]}